Entry 1:
VASP calculation (PBE) on an optimized crystal structure of CeHfCd2.

Lattice parameters (Å, degrees): 5.184 5.184 5.184 60.00 60.00 60.00
Last column: magnetic moment on the atom in μB.
Element x y z (fractional)
Cd1 0.250 0.250 0.250  0.01
Cd2 0.750 0.750 0.750  0.01
Ce1 0.000 0.000 0.000  0.80
Hf1 0.500 0.500 0.500  0.48

**Space group**: Fm-3m (225)
**Size of the total moment**: 1.88 μB per formula unit
**Energy relative to the elements**: 0.06 eV per atom
**ΔE to the lowest computed polymorph**: 0.525 eV per formula unit
**DOS(E_F)**: 9.52 states/eV/cell
**Electronic total energy**: -17.46 eV for the cell shown



Entry 2:
VASP calculation (PBE) on an optimized crystal structure of CeHfCd4.

Lattice parameters (Å, degrees): 5.814 5.814 5.814 60.00 60.00 60.00
Last column: magnetic moment on the atom in μB.
Element x y z (fractional)
Cd1 0.625 0.124 0.625  0.01
Cd2 0.625 0.625 0.625  0.01
Cd3 0.124 0.625 0.625  0.01
Hf1 0.000 0.000 0.000  0.69
Ce1 0.250 0.250 0.250  0.88
Cd4 0.625 0.625 0.124  0.01

**Space group**: F-43m (216)
**Size of the total moment**: 2.42 μB per formula unit
**Energy relative to the elements**: -0.01 eV per atom
**DOS(E_F)**: 8.32 states/eV/cell
**Electronic total energy**: -19.58 eV for the cell shown



Entry 3:
VASP calculation (PBE) on an optimized crystal structure of CeHfCd.

Lattice parameters (Å, degrees): 3.123 3.123 7.646 101.78 101.78 90.00
Element x y z (fractional)
Ce1 0.337 0.337 0.674
Cd1 0.658 0.658 0.317
Hf1 0.005 0.005 0.009

**Space group**: I4mm (107)
**Size of the total moment**: 0.00 μB per formula unit
**Energy relative to the elements**: -0.02 eV per atom
**ΔE to the lowest computed polymorph**: 0.000 eV per formula unit
**DOS(E_F)**: 5.30 states/eV/cell
**Electronic total energy**: -16.86 eV for the cell shown



Entry 4:
VASP calculation (PBE) on an optimized crystal structure of Ce2HfCd.

Lattice parameters (Å, degrees): 3.072 3.072 11.985 82.64 82.64 60.00
Element x y z (fractional)
Ce1 0.916 0.916 0.253
Ce2 0.084 0.084 0.747
Cd1 0.500 0.500 0.500
Hf1 0.000 0.000 0.000

**Space group**: R-3m (166)
**Size of the total moment**: 0.00 μB per formula unit
**Energy relative to the elements**: 0.16 eV per atom
**ΔE to the lowest computed polymorph**: 0.721 eV per formula unit
**DOS(E_F)**: 8.05 states/eV/cell
**Electronic total energy**: -22.08 eV for the cell shown



Entry 5:
VASP calculation (PBE) on an optimized crystal structure of CeHf2Cd.

Lattice parameters (Å, degrees): 4.366 4.611 4.611 90.00 90.00 90.00
Element x y z (fractional)
Hf1 0.000 0.500 0.000
Cd1 0.500 0.000 0.000
Ce1 0.500 0.500 0.500
Hf2 0.000 0.000 0.500

**Space group**: P4/mmm (123)
**Size of the total moment**: 0.00 μB per formula unit
**Energy relative to the elements**: 0.10 eV per atom
**ΔE to the lowest computed polymorph**: 0.075 eV per formula unit
**DOS(E_F)**: 3.84 states/eV/cell
**Electronic total energy**: -26.37 eV for the cell shown



Entry 6:
VASP calculation (PBE) on an optimized crystal structure of CeHfCdIn.

Lattice parameters (Å, degrees): 5.189 5.189 5.189 60.00 60.00 60.00
Last column: magnetic moment on the atom in μB.
Element x y z (fractional)
Hf1 0.250 0.250 0.250  0.13
In1 0.500 0.500 0.500  -0.01
Cd1 0.000 0.000 0.000  0.00
Ce1 0.750 0.750 0.750  0.66

**Space group**: F-43m (216)
**Size of the total moment**: 0.94 μB per formula unit
**Energy relative to the elements**: -0.06 eV per atom
**DOS(E_F)**: 7.93 states/eV/cell
**Electronic total energy**: -19.77 eV for the cell shown



Entry 7:
VASP calculation (PBE) on an optimized crystal structure of CeCd5Hg4.

Lattice parameters (Å, degrees): 5.050 6.857 7.643 101.78 109.29 90.00
Last column: magnetic moment on the atom in μB.
Element x y z (fractional)
Ce1 0.500 0.000 0.000  0.90
Hg1 0.705 0.344 0.410  0.00
Cd1 0.288 0.164 0.576  0.00
Cd2 0.099 0.341 0.198  0.00
Hg2 0.295 0.656 0.590  0.00
Hg3 0.104 0.837 0.207  0.00
Hg4 0.896 0.163 0.793  0.00
Cd3 0.901 0.659 0.802  0.00
Cd4 0.500 0.500 0.000  0.00
Cd5 0.712 0.836 0.424  0.00

**Space group**: C2/m (12)
**Size of the total moment**: 1.06 μB per formula unit
**Energy relative to the elements**: -0.10 eV per atom
**DOS(E_F)**: 10.00 states/eV/cell
**Electronic total energy**: -12.76 eV for the cell shown



Entry 8:
VASP calculation (PBE) on an optimized crystal structure of Ce2Cd2Hg.

Lattice parameters (Å, degrees): 3.282 5.048 7.893 108.63 90.00 90.00
Last column: magnetic moment on the atom in μB.
Element x y z (fractional)
Cd1 0.000 0.202 0.405  0.00
Ce1 0.500 0.594 0.189  0.65
Ce2 0.500 0.406 0.811  0.65
Hg1 0.000 0.000 0.000  -0.01
Cd2 0.000 0.798 0.595  0.00

**Space group**: Cmmm (65)
**Size of the total moment**: 1.52 μB per formula unit
**Energy relative to the elements**: -0.24 eV per atom
**ΔE to the lowest computed polymorph**: 0.000 eV per formula unit
**DOS(E_F)**: 10.54 states/eV/cell
**Electronic total energy**: -15.21 eV for the cell shown



Entry 9:
VASP calculation (PBE) on an optimized crystal structure of Ce2CdHg.

Lattice parameters (Å, degrees): 4.008 4.008 6.937 90.00 90.00 90.00
Last column: magnetic moment on the atom in μB.
Element x y z (fractional)
Ce1 0.000 0.000 0.754  1.02
Hg1 0.500 0.500 0.000  0.03
Cd1 0.500 0.500 0.500  0.01
Ce2 0.000 0.000 0.246  1.02

**Space group**: P4/mmm (123)
**Size of the total moment**: 2.77 μB per formula unit
**Energy relative to the elements**: -0.20 eV per atom
**ΔE to the lowest computed polymorph**: 0.125 eV per formula unit
**DOS(E_F)**: 14.63 states/eV/cell
**Electronic total energy**: -13.89 eV for the cell shown



Entry 10:
VASP calculation (PBE) on an optimized crystal structure of Ce2CdHg.

Lattice parameters (Å, degrees): 3.837 5.410 5.410 90.37 89.97 89.97
Last column: magnetic moment on the atom in μB.
Element x y z (fractional)
Ce1 0.000 0.500 0.500  1.00
Ce2 0.000 0.000 0.000  1.00
Hg1 0.500 0.000 0.500  0.02
Cd1 0.500 0.500 0.000  0.02

**Space group**: Cmmm (65)
**Size of the total moment**: 2.76 μB per formula unit
**Energy relative to the elements**: -0.20 eV per atom
**ΔE to the lowest computed polymorph**: 0.132 eV per formula unit
**DOS(E_F)**: 15.76 states/eV/cell
**Electronic total energy**: -13.88 eV for the cell shown



Entry 11:
VASP calculation (PBE) on an optimized crystal structure of CeCdHg2.

Lattice parameters (Å, degrees): 4.345 4.906 4.906 90.00 90.00 90.00
Last column: magnetic moment on the atom in μB.
Element x y z (fractional)
Ce1 0.500 0.500 0.500  0.97
Cd1 0.500 0.000 0.000  0.01
Hg1 0.000 0.500 0.000  0.03
Hg2 0.000 0.000 0.500  0.03

**Space group**: P4/mmm (123)
**Size of the total moment**: 1.38 μB per formula unit
**Energy relative to the elements**: -0.21 eV per atom
**ΔE to the lowest computed polymorph**: 0.534 eV per formula unit
**DOS(E_F)**: 10.37 states/eV/cell
**Electronic total energy**: -8.29 eV for the cell shown



Entry 12:
VASP calculation (PBE) on an optimized crystal structure of Ce2Cd5Hg.

Lattice parameters (Å, degrees): 4.689 9.192 9.993 90.00 90.00 104.78
Last column: magnetic moment on the atom in μB.
Element x y z (fractional)
Cd1 0.193 0.386 0.895  0.00
Ce1 0.805 0.611 0.750  0.85
Cd2 0.807 0.614 0.105  0.00
Cd3 0.391 0.782 0.250  0.00
Cd4 0.646 0.291 0.030  0.01
Cd5 0.646 0.291 0.470  0.01
Hg1 0.547 0.094 0.250  0.03
Cd6 0.609 0.218 0.750  0.00
Cd7 0.354 0.709 0.970  0.01
Cd8 0.193 0.386 0.605  0.00
Cd9 0.354 0.709 0.530  0.01
Cd10 0.807 0.614 0.395  0.00
Ce2 0.000 0.000 0.000  1.05
Ce3 0.195 0.389 0.250  0.85
Hg2 0.453 0.906 0.750  0.03
Ce4 0.000 0.000 0.500  1.05

**Space group**: Cmcm (63)
**Size of the total moment**: 2.40 μB per formula unit
**Energy relative to the elements**: -0.17 eV per atom
**DOS(E_F)**: 34.98 states/eV/cell
**Electronic total energy**: -36.21 eV for the cell shown



Entry 13:
VASP calculation (PBE) on an optimized crystal structure of CeCd2Hg.

Lattice parameters (Å, degrees): 4.993 4.568 4.568 90.00 90.00 90.00
Last column: magnetic moment on the atom in μB.
Element x y z (fractional)
Cd1 0.000 0.500 0.000  0.01
Ce1 0.500 0.500 0.500  0.96
Hg1 0.500 0.000 0.000  0.03
Cd2 0.000 0.000 0.500  0.01

**Space group**: P4/mmm (123)
**Size of the total moment**: 1.30 μB per formula unit
**Energy relative to the elements**: -0.17 eV per atom
**ΔE to the lowest computed polymorph**: 0.433 eV per formula unit
**DOS(E_F)**: 10.36 states/eV/cell
**Electronic total energy**: -8.74 eV for the cell shown